1.
PBE YMgAu, relaxed; calculated formation energy = -0.53 eV/atom; DFT total energy = -4.307 eV per atom; space group = No. 187
1.0
4.688 0.000 0.000
-2.344 4.060 0.000
0.000 0.000 3.681
Mg Y Au
1 1 1
Direct
0.667 0.333 0.167
0.333 0.667 0.667
0.000 0.000 0.166

=====

2.
PBE YMgAu, relaxed; calculated formation energy = -0.52 eV/atom; DFT total energy = -4.294 eV per atom; space group = No. 107
1.0
6.368 0.070 -0.076
5.401 3.374 -0.066
0.967 0.274 3.293
Y Au Mg
1 1 1
Direct
0.649 0.649 0.351
0.992 0.992 0.008
0.359 0.359 0.641

=====

3.
PBE Y2Mg3Au4, relaxed; calculated formation energy = -0.67 eV/atom; DFT total energy = -4.092 eV per atom; ΔE to the lowest computed polymorph = 0.0000 eV per atom; space group = No. 2
1.0
-3.221 0.460 3.435
0.485 -2.429 4.049
5.236 7.465 3.881
Au Y Mg
4 2 3
Direct
0.004 0.995 0.358
0.996 0.005 0.642
0.665 0.668 0.917
0.335 0.332 0.083
0.668 0.665 0.218
0.332 0.335 0.782
0.000 0.000 0.000
0.336 0.330 0.423
0.664 0.670 0.577

=====

4.
PBE Y2MgAu, relaxed; calculated formation energy = -0.48 eV/atom; DFT total energy = -4.933 eV per atom; space group = No. 123
1.0
3.708 -0.003 0.000
0.004 3.708 0.000
0.000 0.000 7.306
Mg Y Au
1 2 1
Direct
0.500 0.500 0.750
0.000 0.000 0.014
0.000 0.000 0.486
0.500 0.500 0.250

=====

5.
PBE Y2MgAu, relaxed; calculated formation energy = -0.25 eV/atom; DFT total energy = -4.696 eV per atom; space group = No. 160
1.0
9.663 -0.018 -0.011
8.971 3.592 -0.011
8.971 1.720 3.153
Y Mg Au
2 1 1
Direct
0.235 0.235 0.235
0.005 0.005 0.005
0.766 0.766 0.766
0.494 0.494 0.494

=====

6.
PBE Y2Mg2Au, relaxed; calculated formation energy = -0.23 eV/atom; DFT total energy = -4.107 eV per atom; space group = No. 127
1.0
6.995 0.000 0.000
0.000 6.995 0.000
0.000 0.000 5.154
Au Y Mg
2 4 4
Direct
0.000 0.000 0.000
0.500 0.500 0.000
0.173 0.673 0.500
0.827 0.327 0.500
0.327 0.173 0.500
0.673 0.827 0.500
0.642 0.142 0.000
0.142 0.358 0.000
0.858 0.642 0.000
0.358 0.858 0.000

=====

7.
PBE YMg2Au2, relaxed; calculated formation energy = -0.50 eV/atom; DFT total energy = -3.742 eV per atom; ΔE to the lowest computed polymorph = 0.1266 eV per atom; space group = No. 127
1.0
-7.732 -0.751 2.437
0.483 -8.071 -0.956
0.944 -0.288 2.908
Au Mg Y
4 4 2
Direct
0.828 0.328 0.500
0.672 0.828 0.500
0.172 0.672 0.500
0.328 0.172 0.500
0.625 0.125 0.000
0.375 0.875 0.000
0.875 0.625 0.000
0.125 0.375 0.000
0.000 0.000 0.000
0.500 0.500 0.000

=====

8.
PBE YMgAu3, relaxed; calculated formation energy = -0.17 eV/atom; DFT total energy = -3.752 eV per atom; ΔE to the lowest computed polymorph = 0.0000 eV per atom; space group = No. 221
1.0
4.890 0.000 0.000
0.000 4.890 0.000
0.000 0.000 4.890
Y Au Mg
1 3 1
Direct
0.500 0.500 0.500
0.000 0.000 0.500
0.500 0.000 0.000
0.000 0.500 0.000
0.000 0.000 0.000

=====

9.
PBE YMg4Au, relaxed; calculated formation energy = -0.02 eV/atom; DFT total energy = -2.708 eV per atom; space group = No. 216
1.0
0.000 4.101 4.101
4.101 0.000 4.101
4.101 4.101 0.000
Y Mg Au
1 4 1
Direct
0.750 0.750 0.750
0.375 0.375 0.375
0.375 0.375 0.875
0.375 0.875 0.375
0.875 0.375 0.375
0.000 0.000 0.000

=====

10.
PBE Y4Mg3Au, relaxed; calculated formation energy = -0.30 eV/atom; DFT total energy = -4.537 eV per atom; space group = No. 123
1.0
-0.448 3.687 -0.426
-3.315 -0.204 1.716
6.707 2.344 13.236
Y Mg Au
4 3 1
Direct
0.000 0.000 0.370
0.000 0.000 0.630
0.000 0.000 0.886
0.000 0.000 0.114
0.500 0.500 0.754
0.500 0.500 0.500
0.500 0.500 0.246
0.500 0.500 0.000

=====

11.
PBE Y2MgAu, relaxed; calculated formation energy = -0.30 eV/atom; DFT total energy = -4.751 eV per atom; space group = No. 119
1.0
5.934 -0.014 0.000
2.645 5.311 0.000
-4.289 -2.649 3.129
Au Mg Y
1 1 2
Direct
0.500 0.500 0.000
0.750 0.250 0.500
0.250 0.750 0.500
0.000 0.000 0.000

=====

12.
PBE YMgAu, relaxed; calculated formation energy = -0.52 eV/atom; DFT total energy = -4.294 eV per atom; space group = No. 216
1.0
4.802 0.000 0.000
2.401 4.158 0.000
2.401 1.386 3.921
Au Mg Y
1 1 1
Direct
0.750 0.750 0.750
0.000 0.000 0.000
0.500 0.500 0.500